Compound: Cu4BS5
Source: Alexandria via LeMat-Bulk
Functional: PBE
Structure: relaxed

Properties
symmetry: I4
calculated total energy: -4.383 eV per atom

abc: 5.970 5.970 5.970
angles: 99.40 99.40 132.34
Positions (direct):
Cu1 0.122 0.283 0.405
Cu2 0.283 0.878 0.161
Cu3 0.717 0.122 0.839
Cu4 0.878 0.717 0.595
B1 0.563 0.563 0.000
S1 0.229 0.556 0.798
S2 0.431 0.229 0.673
S3 0.556 0.758 0.327
S4 0.758 0.431 0.202
S5 0.954 0.954 0.000

=====

Compound: Cs3Fe5Cl12
Source: Alexandria via LeMat-Bulk
Functional: PBE
Structure: relaxed

Properties
symmetry: Ia-3d
calculated total energy: -4.348 eV per atom

abc: 14.303 14.303 14.303
angles: 109.47 109.47 109.47
Positions (direct):
Cs1 0.125 0.250 0.375
Cs2 0.125 0.375 0.750
Cs3 0.250 0.375 0.125
Cs4 0.250 0.875 0.625
Cs5 0.375 0.125 0.250
Cs6 0.375 0.750 0.125
Cs7 0.625 0.250 0.875
Cs8 0.625 0.875 0.750
Cs9 0.750 0.125 0.375
Cs10 0.750 0.625 0.875
Cs11 0.875 0.625 0.250
Cs12 0.875 0.750 0.625
Fe1 0.000 0.000 0.000
Fe2 0.000 0.000 0.500
Fe3 0.000 0.500 0.000
Fe4 0.000 0.500 0.500
Fe5 0.125 0.750 0.875
Fe6 0.125 0.875 0.250
Fe7 0.250 0.125 0.875
Fe8 0.250 0.625 0.375
Fe9 0.375 0.250 0.625
Fe10 0.375 0.625 0.750
Fe11 0.500 0.000 0.000
Fe12 0.500 0.000 0.500
Fe13 0.500 0.500 0.000
Fe14 0.500 0.500 0.500
Fe15 0.625 0.375 0.250
Fe16 0.625 0.750 0.375
Fe17 0.750 0.375 0.625
Fe18 0.750 0.875 0.125
Fe19 0.875 0.125 0.750
Fe20 0.875 0.250 0.125
Cl1 0.000 0.185 0.100
Cl2 0.000 0.315 0.900
Cl3 0.000 0.685 0.100
Cl4 0.000 0.815 0.900
Cl5 0.085 0.685 0.685
Cl6 0.085 0.900 0.400
Cl7 0.100 0.000 0.185
Cl8 0.100 0.000 0.685
Cl9 0.100 0.600 0.415
Cl10 0.100 0.600 0.915
Cl11 0.185 0.100 0.000
Cl12 0.185 0.185 0.585
Cl13 0.185 0.500 0.600
Cl14 0.185 0.585 0.185
Cl15 0.315 0.315 0.915
Cl16 0.315 0.500 0.400
Cl17 0.315 0.900 0.000
Cl18 0.315 0.915 0.315
Cl19 0.400 0.085 0.900
Cl20 0.400 0.315 0.500
Cl21 0.400 0.585 0.900
Cl22 0.400 0.815 0.500
Cl23 0.415 0.100 0.600
Cl24 0.415 0.815 0.815
Cl25 0.500 0.400 0.315
Cl26 0.500 0.400 0.815
Cl27 0.500 0.600 0.185
Cl28 0.500 0.600 0.685
Cl29 0.585 0.185 0.185
Cl30 0.585 0.900 0.400
Cl31 0.600 0.185 0.500
Cl32 0.600 0.415 0.100
Cl33 0.600 0.685 0.500
Cl34 0.600 0.915 0.100
Cl35 0.685 0.085 0.685
Cl36 0.685 0.100 0.000
Cl37 0.685 0.500 0.600
Cl38 0.685 0.685 0.085
Cl39 0.815 0.415 0.815
Cl40 0.815 0.500 0.400
Cl41 0.815 0.815 0.415
Cl42 0.815 0.900 0.000
Cl43 0.900 0.000 0.315
Cl44 0.900 0.000 0.815
Cl45 0.900 0.400 0.085
Cl46 0.900 0.400 0.585
Cl47 0.915 0.100 0.600
Cl48 0.915 0.315 0.315

=====

Compound: Li2TlSe
Source: Alexandria via LeMat-Bulk
Functional: PBE
Structure: relaxed

Properties
symmetry: Pm
calculated total energy: -3.062 eV per atom

abc: 3.796 3.883 5.764
angles: 90.00 90.07 90.00
Positions (direct):
Li1 0.000 0.000 0.000
Li2 0.000 0.500 0.349
Tl1 0.500 0.500 0.769
Se1 0.501 0.000 0.285

=====

Compound: Y2ScP
Source: Alexandria via LeMat-Bulk
Functional: PBE
Structure: relaxed

Properties
symmetry: F-43m
formation enthalpy at 0 K: -41 meV/atom
calculated total energy: -6.208 eV per atom

abc: 5.037 5.037 5.037
angles: 60.00 60.00 60.00
Positions (direct):
Y1 0.000 0.000 0.000
Y2 0.250 0.250 0.250
Sc1 0.750 0.750 0.750
P1 0.500 0.500 0.500